Record 1
# YTl2Pb (GGA-PBE, relaxed)
# density of states at the Fermi level: 2.53 states/eV/f.u.
# total moment: 0.0 μB/cell
# crystal system: orthorhombic
# DFT formation energy: -0.202 eV per atom
data_YTl2Pb
_chemical_formula_sum 'Y1 Tl2 Pb1'
_cell_length_a 3.804
_cell_length_b 5.447
_cell_length_c 5.574
_cell_angle_alpha 90.00
_cell_angle_beta 90.00
_cell_angle_gamma 90.00
_space_group_name_H-M_alt 'P m m 2'
_space_group_IT_number 25
loop_
_space_group_symop_operation_xyz
'x,y,z'
'-x,-y,z'
'-x,y,z'
'x,-y,z'
loop_
_atom_site_label
_atom_site_type_symbol
_atom_site_fract_x
_atom_site_fract_y
_atom_site_fract_z
_atom_site_occupancy
Y1 Y 0.000 0.000 0.000 1
Tl1 Tl 0.000 0.500 0.497 1
Tl2 Tl 0.500 0.000 0.500 1
Pb1 Pb 0.500 0.500 0.997 1

Record 2
# AlCoTe2 (GGA-PBE, relaxed)
# density of states at the Fermi level: 3.74 states/eV/f.u.
# uncorrected formation energy: 656 meV/atom
# total moment: 6.0 μB/cell
# crystal system: cubic
data_AlCoTe2
_chemical_formula_sum 'Al4 Co4 Te8'
_cell_length_a 6.997
_cell_length_b 6.997
_cell_length_c 6.997
_cell_angle_alpha 90.00
_cell_angle_beta 90.00
_cell_angle_gamma 90.00
_space_group_name_H-M_alt 'F -4 3 m'
_space_group_IT_number 216
_space_group_name_Hall 'F -4 2 3'
loop_
_atom_site_label
_atom_site_type_symbol
_atom_site_fract_x
_atom_site_fract_y
_atom_site_fract_z
_atom_site_occupancy
Al1 Al 0.000 0.000 0.000 1
Co1 Co 0.250 0.250 0.750 1
Te1 Te 0.000 0.000 0.500 1
Te2 Te 0.250 0.250 0.250 1

Record 3
# Pm6Ge2PbS3 (GGA-PBE, relaxed)
# density of states at the Fermi level: 3.86 states/eV/f.u.
# uncorrected formation energy: -1369 meV/atom
# total moment: 0.0 μB/cell
# crystal system: monoclinic
data_Pm6Ge2PbS3
_chemical_formula_sum 'Pm12 Ge4 Pb2 S6'
_cell_length_a 18.387
_cell_length_b 4.186
_cell_length_c 8.489
_cell_angle_alpha 90.00
_cell_angle_beta 103.63
_cell_angle_gamma 90.00
_space_group_name_H-M_alt 'C 1 2/m 1'
_space_group_IT_number 12
loop_
_space_group_symop_operation_xyz
'x,y,z'
'-x,-y,-z'
'-x,y,-z'
'x,-y,z'
'x+1/2,y+1/2,z'
'-x+1/2,-y+1/2,-z'
'-x+1/2,y+1/2,-z'
'x+1/2,-y+1/2,z'
loop_
_atom_site_label
_atom_site_type_symbol
_atom_site_fract_x
_atom_site_fract_y
_atom_site_fract_z
_atom_site_occupancy
Pm1 Pm 0.001 0.000 0.230 1
Pm2 Pm 0.168 0.500 0.083 1
Pm3 Pm 0.174 0.500 0.588 1
Ge1 Ge 0.166 0.000 0.833 1
Pb1 Pb 0.000 0.500 0.500 1
S1 S 0.000 0.500 0.000 1
S2 S 0.167 0.000 0.331 1

Record 4
# Ga2HgBi2 (GGA-PBE, relaxed)
# density of states at the Fermi level: 2.05 states/eV/f.u.
# total moment: 0.0 μB/cell
# crystal system: tetragonal
# energy above the most stable polymorph in this dataset: 0.17 eV per formula unit
# DFT formation energy: 0.101 eV per atom
data_Ga2HgBi2
_chemical_formula_sum 'Ga4 Hg2 Bi4'
_cell_length_a 8.795
_cell_length_b 8.795
_cell_length_c 3.503
_cell_angle_alpha 90.00
_cell_angle_beta 90.00
_cell_angle_gamma 90.00
_space_group_name_H-M_alt 'P 4/m b m'
_space_group_IT_number 127
_space_group_name_Hall '-P 4 2ab'
loop_
_atom_site_label
_atom_site_type_symbol
_atom_site_fract_x
_atom_site_fract_y
_atom_site_fract_z
_atom_site_occupancy
Ga1 Ga 0.145 0.355 0.000 1
Hg1 Hg 0.000 0.000 0.000 1
Bi1 Bi 0.150 0.650 0.500 1

Record 5
# LiSm2ScSe5 (GGA-PBE, relaxed)
# uncorrected formation energy: -1695 meV/atom
# total moment: 0.0 μB/cell
# crystal system: orthorhombic
data_LiSm2ScSe5
_chemical_formula_sum 'Li4 Sm8 Sc4 Se20'
_cell_length_a 4.055
_cell_length_b 17.035
_cell_length_c 12.122
_cell_angle_alpha 90.00
_cell_angle_beta 90.00
_cell_angle_gamma 90.00
_space_group_name_H-M_alt 'C m c 21'
_space_group_IT_number 36
loop_
_space_group_symop_operation_xyz
'x,y,z'
'-x,-y,z+1/2'
'-x,y,z'
'x,-y,z+1/2'
'x+1/2,y+1/2,z'
'-x+1/2,-y+1/2,z+1/2'
'-x+1/2,y+1/2,z'
'x+1/2,-y+1/2,z+1/2'
loop_
_atom_site_label
_atom_site_type_symbol
_atom_site_fract_x
_atom_site_fract_y
_atom_site_fract_z
_atom_site_occupancy
Li1 Li 0.000 0.053 0.000 1
Sm1 Sm 0.000 0.371 0.839 1
Sm2 Sm 0.000 0.395 0.222 1
Sc1 Sc 0.000 0.301 0.548 1
Se1 Se 0.000 0.003 0.317 1
Se2 Se 0.000 0.140 0.536 1
Se3 Se 0.000 0.191 0.892 1
Se4 Se 0.000 0.219 0.200 1
Se5 Se 0.000 0.447 0.606 1

no.,total DFT energy (no corrections) (eV/cell)
1,-15.71
2,-58.03
3,-140.52
4,-27.22
5,-201.43